[1]
# ScTiCdI2

A crystal of ScTiCdI2 relaxed with PBEsol (SCAN, Alexandria).

## Properties
Its electronic total energy is -26.488 eV/atom. As for the magnetic moment: 0.55 μB/atom.

Lattice parameters (Å, degrees): 5.236 5.236 5.385 90.00 90.00 90.00
Sites, in units of the cell vectors:
Sc1 0.000 0.000 0.000
Ti1 0.500 0.500 0.500
Cd1 0.500 0.500 0.000
I1 0.000 0.500 0.500
I2 0.500 0.000 0.500

[2]
# SrTcSbPt2

A crystal of SrTcSbPt2 relaxed with PBEsol (SCAN, Alexandria).

## Properties
Its electronic total energy is -45.006 eV/atom. As for the magnetic moment: 0.76 μB/atom.

Lattice parameters (Å, degrees): 5.009 5.009 5.643 90.00 90.00 90.00
Sites, in units of the cell vectors:
Sr1 0.000 0.000 0.000
Tc1 0.500 0.500 0.500
Sb1 0.000 0.000 0.500
Pt1 0.000 0.500 0.000
Pt2 0.500 0.000 0.000

[3]
# ScHg2Se

A crystal of ScHg2Se relaxed with PBEsol (SCAN, Alexandria).

## Properties
Its electronic total energy is -43.411 eV/atom. As for the magnetic moment: 0.00 μB/atom.

Lattice parameters (Å, degrees): 8.423 8.423 8.423 25.41 25.41 25.41
Sites, in units of the cell vectors:
Sc1 0.000 0.000 0.000
Hg1 0.248 0.248 0.248
Hg2 0.496 0.496 0.496
Se1 0.726 0.726 0.726

[4]
# Fe2NiAg

A crystal of Fe2NiAg relaxed with PBEsol (SCAN, Alexandria).

## Properties
Its electronic total energy is -20.803 eV/atom. The calculation puts the formation energy at 0.6 eV per formula unit. As for the magnetic moment: 1.58 μB/atom.

Lattice parameters (Å, degrees): 2.582 2.582 7.438 90.00 90.00 90.00
Sites, in units of the cell vectors:
Fe1 0.000 0.000 0.000
Fe2 0.500 0.500 0.239
Ni1 0.000 0.000 0.453
Ag1 0.500 0.500 0.722

[5]
# MgCuRe

A crystal of MgCuRe relaxed with PBEsol (SCAN, Alexandria).

## Properties
Its electronic total energy is -30.178 eV/atom. The calculation puts the formation energy at 0.7 eV per formula unit. As for the magnetic moment: 0.00 μB/atom.

Lattice parameters (Å, degrees): 2.727 2.727 6.725 90.00 90.00 120.00
Sites, in units of the cell vectors:
Mg1 0.000 0.000 0.000
Cu1 0.667 0.333 0.331
Re1 0.333 0.667 0.648

[6]
# AlPIr2

A crystal of AlPIr2 relaxed with PBEsol (SCAN, Alexandria).

## Properties
Its electronic total energy is -40.443 eV/atom. The calculation puts the formation energy at -1.4 eV per formula unit. As for the magnetic moment: 0.00 μB/atom.

Lattice parameters (Å, degrees): 4.395 4.395 4.395 126.06 126.06 79.79
Sites, in units of the cell vectors:
Al1 0.000 0.000 0.000
P1 0.500 0.500 0.000
Ir1 0.250 0.750 0.500
Ir2 0.750 0.250 0.500

[7]
# Li2MgRh

A crystal of Li2MgRh relaxed with PBEsol (SCAN, Alexandria).

## Properties
Its electronic total energy is -11.155 eV/atom. The calculation puts the formation energy at -1.1 eV per formula unit. As for the magnetic moment: 0.00 μB/atom.

Lattice parameters (Å, degrees): 5.175 5.175 4.297 114.25 114.25 35.18
Sites, in units of the cell vectors:
Li1 0.231 0.231 0.230
Li2 0.769 0.769 0.770
Mg1 0.000 0.000 0.500
Rh1 0.500 0.500 0.000

[8]
# ScNi6Sb

A crystal of ScNi6Sb relaxed with PBEsol (SCAN, Alexandria).

## Properties
Its electronic total energy is -18.818 eV/atom. As for the magnetic moment: 0.00 μB/atom.

Lattice parameters (Å, degrees): 6.340 6.340 10.341 90.00 90.00 109.38
Sites, in units of the cell vectors:
Sc1 0.000 0.000 0.246
Sc2 0.000 0.000 0.754
Sc3 0.247 0.753 0.000
Sc4 0.753 0.247 0.000
Ni1 0.000 0.000 0.000
Ni2 0.000 0.000 0.500
Ni3 0.124 0.376 0.125
Ni4 0.124 0.376 0.875
Ni5 0.129 0.376 0.376
Ni6 0.129 0.376 0.624
Ni7 0.248 0.752 0.252
Ni8 0.248 0.752 0.748
Ni9 0.376 0.124 0.125
Ni10 0.376 0.124 0.875
Ni11 0.376 0.129 0.376
Ni12 0.376 0.129 0.624
Ni13 0.500 0.500 0.000
Ni14 0.500 0.500 0.500
Ni15 0.624 0.871 0.376
Ni16 0.624 0.871 0.624
Ni17 0.624 0.876 0.125
Ni18 0.624 0.876 0.875
Ni19 0.752 0.248 0.252
Ni20 0.752 0.248 0.748
Ni21 0.871 0.624 0.376
Ni22 0.871 0.624 0.624
Ni23 0.876 0.624 0.125
Ni24 0.876 0.624 0.875
Sb1 0.245 0.755 0.500
Sb2 0.500 0.500 0.245
Sb3 0.500 0.500 0.755
Sb4 0.755 0.245 0.500

Q: Number 4 is which compound?
A: Fe2NiAg